The following is a PBE-GGA calculation of crystalline PmDyCl6 at its relaxed geometry, from the Alexandria database.

a = 7.349 Å, b = 7.349 Å, c = 7.349 Å
α = 55.27°, β = 55.27°, γ = 55.27°
Fractional positions:
Pm: 0.000 0.000 0.000
Dy: 0.500 0.500 0.500
Cl: 0.108 0.401 0.745
Cl: 0.255 0.892 0.599
Cl: 0.401 0.745 0.108
Cl: 0.599 0.255 0.892
Cl: 0.745 0.108 0.401
Cl: 0.892 0.599 0.255

Calculated values
For the raw total energy, the calculation gives -0.35300 Ry/atom. The calculation puts the volume at 249.8 Å³ per cell. Its space group is No. 148. The spin magnetization is 0.00 μB per formula unit.